LiNdCl3 | GGA-PBE | relaxed Values from VASP.

Structure (Quantum ESPRESSO input):
```
&SYSTEM
  ibrav = 0, nat = 10, ntyp = 3
/
ATOMIC_SPECIES
Li 6.94 Li.upf
Nd 144.24 Nd.upf
Cl 35.45 Cl.upf
CELL_PARAMETERS angstrom
3.571 0.000 0.000
-1.781 6.884 0.000
-0.003 -2.812 10.140
ATOMIC_POSITIONS crystal
Li 0.219 0.440 0.128
Li 0.781 0.560 0.872
Nd 0.012 0.024 0.338
Nd 0.988 0.976 0.662
Cl 0.155 0.310 0.883
Cl 0.380 0.758 0.442
Cl 0.383 0.766 0.794
Cl 0.617 0.234 0.206
Cl 0.620 0.242 0.558
Cl 0.845 0.690 0.117
```

* space group: P-1
* density of states at the Fermi level: 3.355 states/eV per cell
* raw formation energy: -1.8784 eV per atom

=====

Li2NdCl4 | GGA-PBE | relaxed Values from VASP.

Structure (Quantum ESPRESSO input):
```
&SYSTEM
  ibrav = 0, nat = 14, ntyp = 3
/
ATOMIC_SPECIES
Li 6.94 Li.upf
Nd 144.24 Nd.upf
Cl 35.45 Cl.upf
CELL_PARAMETERS angstrom
-3.598 4.053 5.718
3.598 -4.053 5.718
3.598 4.053 -5.718
ATOMIC_POSITIONS crystal
Li 0.000 0.000 0.000
Li 0.378 0.628 0.750
Li 0.500 0.000 0.500
Li 0.622 0.372 0.250
Nd 0.000 0.000 0.500
Nd 0.000 0.500 0.000
Cl 0.245 0.235 0.490
Cl 0.245 0.755 0.010
Cl 0.255 0.231 0.024
Cl 0.294 0.769 0.524
Cl 0.706 0.231 0.476
Cl 0.745 0.769 0.976
Cl 0.755 0.245 0.990
Cl 0.755 0.765 0.510
```

* space group: Imma
* density of states at the Fermi level: 2.185 states/eV per cell
* raw formation energy: -1.8518 eV per atom

=====

Li3NdCl6 | GGA-PBE | relaxed Values from VASP.

Structure (Quantum ESPRESSO input):
```
&SYSTEM
  ibrav = 0, nat = 10, ntyp = 3
/
ATOMIC_SPECIES
Li 6.94 Li.upf
Nd 144.24 Nd.upf
Cl 35.45 Cl.upf
CELL_PARAMETERS angstrom
4.241 -6.485 0.000
4.241 6.485 0.000
0.000 0.000 4.408
ATOMIC_POSITIONS crystal
Li 0.000 0.000 0.000
Li 0.000 0.500 0.500
Li 0.500 0.000 0.500
Nd 0.500 0.500 0.000
Cl 0.085 0.335 0.000
Cl 0.335 0.085 0.000
Cl 0.360 0.640 0.500
Cl 0.640 0.360 0.500
Cl 0.665 0.915 0.000
Cl 0.915 0.665 0.000
```

* space group: Cmmm
* density of states at the Fermi level: 0.000 states/eV per cell
* raw formation energy: -1.8908 eV per atom